[1]
Sm2YIr9 | Alexandria | PBE | relaxed; space-group type = No. 166; total moment = 0.00 μB per formula unit; Fermi-level density of states = 11.4 states/eV per cell; E = -102.20 eV per cell; DFT formation energy = -0.55 eV per atom
1.0
2.667 1.540 8.843
-2.667 1.540 8.843
0.000 -3.080 8.843
Sm Y Ir
2 1 9
Cartesian
0.000 0.000 3.694
0.000 0.000 22.835
0.000 0.000 0.000
-1.325 -0.765 10.995
0.000 0.000 8.818
0.000 -1.530 15.533
-1.325 0.765 15.533
0.000 0.000 13.264
1.325 -0.765 10.995
0.000 1.530 10.995
0.000 0.000 17.711
1.325 0.765 15.533

[2]
Ba5Si2Br | Alexandria | PBE | relaxed; space-group type = No. 140; total moment = 0.00 μB per formula unit; Fermi-level density of states = 12.0 states/eV per cell; E = -52.94 eV per cell; energy relative to the elements, uncorrected = -0.542 eV/atom
1.0
-4.317 4.317 8.651
4.317 -4.317 8.651
4.317 4.317 -8.651
Ba Si Br
10 4 2
Cartesian
0.000 0.000 0.000
5.795 1.478 -2.334
1.478 2.840 -2.334
5.795 1.478 2.334
1.478 2.840 2.334
0.000 0.000 8.651
2.840 1.478 6.317
-1.478 2.840 6.317
2.840 1.478 10.985
-1.478 2.840 10.985
3.422 0.895 0.000
3.422 -0.895 8.651
0.895 5.212 0.000
0.895 3.422 8.651
0.000 0.000 4.326
0.000 0.000 12.977

[3]
NaPrAgPt | Alexandria | PBE | relaxed; space-group type = No. 216; total moment = 0.00 μB per formula unit; Fermi-level density of states = 11.8 states/eV per cell; E = -66.26 eV per cell; DFT formation energy = -0.39 eV per atom
1.0
7.169 0.000 0.000
0.000 7.169 0.000
0.000 0.000 7.169
Na Pr Ag Pt
4 4 4 4
Cartesian
0.000 0.000 0.000
0.000 3.584 3.584
3.584 0.000 3.584
3.584 3.584 0.000
0.000 0.000 3.584
0.000 3.584 0.000
3.584 0.000 0.000
3.584 3.584 3.584
1.792 1.792 1.792
1.792 5.377 5.377
5.377 1.792 5.377
5.377 5.377 1.792
1.792 1.792 5.377
1.792 5.377 1.792
5.377 1.792 1.792
5.377 5.377 5.377

- Among the records above, which one has the highest Fermi-level density of states?
  Ba5Si2Br

- What is the E in the second record?
  -52.94 eV per cell

- Which of these has the lowest Fermi-level density of states?
  Sm2YIr9

Repeat the third record exactly.
NaPrAgPt | Alexandria | PBE | relaxed; space-group type = No. 216; total moment = 0.00 μB per formula unit; Fermi-level density of states = 11.8 states/eV per cell; E = -66.26 eV per cell; DFT formation energy = -0.39 eV per atom
1.0
7.169 0.000 0.000
0.000 7.169 0.000
0.000 0.000 7.169
Na Pr Ag Pt
4 4 4 4
Cartesian
0.000 0.000 0.000
0.000 3.584 3.584
3.584 0.000 3.584
3.584 3.584 0.000
0.000 0.000 3.584
0.000 3.584 0.000
3.584 0.000 0.000
3.584 3.584 3.584
1.792 1.792 1.792
1.792 5.377 5.377
5.377 1.792 5.377
5.377 5.377 1.792
1.792 1.792 5.377
1.792 5.377 1.792
5.377 1.792 1.792
5.377 5.377 5.377